Below is an optimized crystal structure of P2PdPbO7, with properties calculated at the GGA-PBEsol level.

Total moment in μB per formula unit: 0.00
Formation energy without anion corrections in meV/atom: -1753.2

```
data_P2PdPbO7
_chemical_formula_sum 'P8 Pd4 Pb4 O28'
_symmetry_space_group_name_H-M 'P n m a'
_symmetry_Int_Tables_number 62
_cell_length_a 13.448
_cell_length_b 5.963
_cell_length_c 7.422
_cell_angle_alpha 90.00
_cell_angle_beta 90.00
_cell_angle_gamma 90.00
loop_
_symmetry_equiv_pos_as_xyz
'x,y,z'
'-x,-y,-z'
'-x+1/2,-y,z+1/2'
'x+1/2,y,-z+1/2'
'x+1/2,-y+1/2,-z+1/2'
'-x+1/2,y+1/2,z+1/2'
'-x,y+1/2,-z'
'x,-y+1/2,z'
loop_
_atom_site_label
_atom_site_type_symbol
_atom_site_fract_x
_atom_site_fract_y
_atom_site_fract_z
P1 P 0.095 0.250 0.186
P2 P 0.117 0.750 0.790
Pd1 Pd 0.000 0.000 0.500
Pb1 Pb 0.245 0.750 0.243
O1 O 0.015 0.750 0.904
O2 O 0.100 0.032 0.301
O3 O 0.115 0.534 0.672
O4 O 0.172 0.250 0.041
O5 O 0.204 0.750 0.917
```